Density functional theory data (PBE) for a relaxed Cr3H crystal.

Unit cell a=4.578 b=4.578 c=4.578 alpha=139.26 beta=139.26 gamma=58.98
Fractional positions:
Cr1 0.750 0.250 0.500
Cr2 0.250 0.750 0.500
Cr3 0.500 0.500 0.000
H1 0.000 0.000 0.000

Output
Uncorrected energy, eV/atom: -7.310
Space-group type: No. 139
Crystal system: tetragonal
Size of the total moment, μB per formula unit: 0.00
Fermi-level density of states, states/eV/cell: 3.343

=====

Density functional theory data (PBE) for a relaxed Cr8H crystal.

Unit cell a=5.729 b=5.019 c=4.128 alpha=91.64 beta=90.00 gamma=124.82
Fractional positions:
Cr1 0.474 0.448 0.971
Cr2 0.460 0.918 0.001
Cr3 0.957 0.917 0.001
Cr4 0.956 0.412 0.002
Cr5 0.207 0.416 0.499
Cr6 0.193 0.885 0.529
Cr7 0.710 0.921 0.498
Cr8 0.709 0.416 0.499
H1 0.333 0.167 0.250

Output
Uncorrected energy, eV/atom: -8.878
Space-group type: No. 12
Crystal system: monoclinic
Size of the total moment, μB per formula unit: 0.14
Fermi-level density of states, states/eV/cell: 4.181

=====

Density functional theory data (PBE) for a relaxed Cr3H crystal.

Unit cell a=2.333 b=4.300 c=4.494 alpha=118.59 beta=105.05 gamma=90.00
Fractional positions:
Cr1 0.322 0.688 0.643
Cr2 0.500 0.388 0.000
Cr3 0.678 0.045 0.357
H1 0.000 0.046 0.000

Output
Uncorrected energy, eV/atom: -7.747
Space-group type: No. 44
Crystal system: orthorhombic
Size of the total moment, μB per formula unit: 0.00
Fermi-level density of states, states/eV/cell: 4.095